First-principles (PBE with a Hubbard U) data for a geometry-optimized KWSe2F structure, as listed in the Alexandria database.

Unit cell a=4.9493 b=9.2774 c=4.9493 alpha=90.00 beta=90.00 gamma=90.00
Last column: nearest neighbours and their distance in Å.
Fractional coordinates of all 5 atoms:
Se 0.0000 0.0000 0.5000  2 W 2.47
Se 0.5000 0.0000 0.0000  2 W 2.47
F 0.5000 0.5000 0.5000  4 K 3.50
K 0.0000 0.5000 0.0000  4 F 3.50
W 0.0000 0.0000 0.0000  4 Se 2.47

- total magnetization (μB/f.u.) = 2.1
- energy (Ry/atom) = -0.2823
- space group = P4/mmm